1.
The following is a DFT calculation (SCAN) of a PBEsol-optimized structure of Sr2ZrOs.

Results
DFT total energy (eV per atom): -35.88
ρ (g/cm³): 7.342
SG: P4/mmm
Energy above the lowest structure with this stoichiometry (meV/atom): 239
Volume (Å³/cell): 103

Lattice parameters (Å, degrees): 3.1653 3.1653 10.3084 90.00 90.00 90.00
Each line ends with the local moment (μB).
Atoms (fractional coordinates):
Zr (0.5000, 0.5000, 0.0000)  0.78
Os (0.5000, 0.5000, 0.5000)  0.78
Sr (0.0000, 0.0000, 0.2987)  0.01
Sr (0.0000, 0.0000, 0.7013)  0.01

---

2.
The following is a DFT calculation (SCAN) of a PBEsol-optimized structure of TaOs4.

Results
DFT total energy (eV per atom): -70.90
ρ (g/cm³): 21.305
SG: I4/m
Volume (Å³/cell): 73

Lattice parameters (Å, degrees): 3.8493 4.7723 4.7723 80.64 66.22 66.22
Atoms (fractional coordinates):
Os (0.5978, 0.2123, 0.5920)
Os (0.1898, 0.4080, 0.2123)
Os (0.8102, 0.5920, 0.7877)
Ta (0.0000, 0.0000, 0.0000)
Os (0.4022, 0.7877, 0.4080)

---

3.
The following is a DFT calculation (SCAN) of a PBEsol-optimized structure of Ta3Os2.

Results
DFT total energy (eV per atom): -69.12
ρ (g/cm³): 18.983
SG: Cmm2
Volume (Å³/cell): 485

Lattice parameters (Å, degrees): 5.0341 9.8114 9.8114 89.98 90.00 90.00
Atoms (fractional coordinates):
Ta (0.4961, 0.1029, 0.1029)
Ta (0.4961, 0.8971, 0.8971)
Ta (0.2498, 0.6811, 0.6811)
Os (0.9978, 0.0697, 0.2593)
Os (0.5004, 0.7575, 0.4345)
Ta (0.4984, 0.9622, 0.6294)
Os (0.9978, 0.2593, 0.0697)
Os (0.5004, 0.5655, 0.2425)
Ta (0.4984, 0.3706, 0.0378)
Os (0.9978, 0.7407, 0.9303)
Ta (0.9975, 0.5349, 0.1300)
Ta (0.9975, 0.1300, 0.5349)
Os (0.5214, 0.5000, 0.5000)
Os (0.9977, 0.0000, 0.0000)
Ta (0.0061, 0.6012, 0.3988)
Ta (0.4984, 0.0378, 0.3706)
Ta (0.2499, 0.8188, 0.1812)
Ta (0.7493, 0.1816, 0.8184)
Ta (0.2498, 0.3189, 0.3189)
Ta (0.9975, 0.4651, 0.8700)
Ta (0.2499, 0.1812, 0.8188)
Ta (0.7493, 0.8184, 0.1816)
Os (0.7510, 0.3187, 0.3187)
Os (0.9978, 0.9303, 0.7407)
Os (0.5004, 0.4345, 0.7575)
Ta (0.4984, 0.6294, 0.9622)
Os (0.7510, 0.6813, 0.6813)
Ta (0.9975, 0.8700, 0.4651)
Ta (0.0061, 0.3988, 0.6012)
Os (0.5004, 0.2425, 0.5655)

---

4.
The following is a DFT calculation (SCAN) of a PBEsol-optimized structure of Ta2Os.

Results
DFT total energy (eV per atom): -68.73
ρ (g/cm³): 18.781
SG: Cmcm
Volume (Å³/cell): 98

Lattice parameters (Å, degrees): 3.1577 4.5415 6.9889 90.00 103.06 90.00
Atoms (fractional coordinates):
Ta (0.5814, 0.7500, 0.1628)
Ta (0.4186, 0.2500, 0.8372)
Os (0.0818, 0.2500, 0.1635)
Ta (0.2519, 0.7500, 0.5038)
Ta (0.7481, 0.2500, 0.4962)
Os (0.9182, 0.7500, 0.8365)

---

5.
The following is a DFT calculation (SCAN) of a PBEsol-optimized structure of TaOs2.

Results
DFT total energy (eV per atom): -70.39
ρ (g/cm³): 20.534
SG: I4_1/amd
Volume (Å³/cell): 182

Lattice parameters (Å, degrees): 3.8917 3.8917 12.3022 99.10 99.10 90.00
Atoms (fractional coordinates):
Os (0.6682, 0.1682, 0.3364)
Os (0.7508, 0.7508, 0.5016)
Os (0.8318, 0.3318, 0.6636)
Ta (0.0780, 0.0780, 0.1560)
Os (0.4992, 0.9992, 0.9984)
Ta (0.3280, 0.8280, 0.6560)
Os (0.5818, 0.5818, 0.1636)
Os (0.4182, 0.4182, 0.8364)
Os (0.0008, 0.5008, 0.0016)
Os (0.2492, 0.2492, 0.4984)
Ta (0.1720, 0.6720, 0.3440)
Ta (0.9220, 0.9220, 0.8440)

---

6.
The following is a DFT calculation (SCAN) of a PBEsol-optimized structure of Ta2Os3.

Results
DFT total energy (eV per atom): -69.73
ρ (g/cm³): 18.107
SG: P-3m1
Energy above the lowest structure with this stoichiometry (meV/atom): 257
Volume (Å³/cell): 86

Lattice parameters (Å, degrees): 4.3134 4.3134 5.3079 90.00 90.00 120.00
Atoms (fractional coordinates):
Os (0.3333, 0.6667, 0.3325)
Ta (0.6667, 0.3333, 0.1833)
Os (0.0000, 0.0000, 0.0000)
Ta (0.3333, 0.6667, 0.8167)
Os (0.6667, 0.3333, 0.6675)

---

7.
The following is a DFT calculation (SCAN) of a PBEsol-optimized structure of TaOs2.

Results
DFT total energy (eV per atom): -70.34
ρ (g/cm³): 20.441
SG: Cmcm
Volume (Å³/cell): 91

Lattice parameters (Å, degrees): 3.8594 3.9076 6.3484 90.00 107.70 90.00
Atoms (fractional coordinates):
Ta (0.0911, 0.2500, 0.1822)
Os (0.2478, 0.7500, 0.4956)
Ta (0.9089, 0.7500, 0.8178)
Os (0.4107, 0.2500, 0.8214)
Os (0.5893, 0.7500, 0.1786)
Os (0.7522, 0.2500, 0.5044)

---

8.
The following is a DFT calculation (SCAN) of a PBEsol-optimized structure of Ta2Os.

Results
DFT total energy (eV per atom): -68.73
ρ (g/cm³): 18.735
SG: I4/mmm
Volume (Å³/cell): 49

Lattice parameters (Å, degrees): 3.1746 3.1746 5.3495 107.26 107.26 90.00
Atoms (fractional coordinates):
Ta (0.3362, 0.3362, 0.6724)
Ta (0.6638, 0.6638, 0.3276)
Os (0.0000, 0.0000, 0.0000)